(1)
Y15Ho4Mg: optimized geometry, GGA-PBE.

a b c (Å): 5.018 5.018 25.159
angles (deg): 90.00 90.00 90.00
Space group P4/mmm (No. 123)
Asymmetric unit:
Y 0.000 0.000 0.000 (multiplicity 1)
Y 0.000 0.000 0.196 (multiplicity 2)
Y 0.000 0.000 0.399 (multiplicity 2)
Y 0.000 0.500 0.098 (multiplicity 4)
Y 0.000 0.500 0.299 (multiplicity 4)
Y 0.000 0.500 0.500 (multiplicity 2)
Ho 0.500 0.500 0.198 (multiplicity 2)
Ho 0.500 0.500 0.399 (multiplicity 2)
Mg 0.500 0.500 0.000 (multiplicity 1)

Calculated values
**E_tot**: -116.41 eV/cell
**Fermi-level density of states**: 28.55 states/eV/f.u.
**ΔH_f (0 K)**: 23 meV per atom
**Total magnetic moment**: 0.00 μB/cell
**Volume**: 633.44 Å³/cell

=====

(2)
TbPmErLu: optimized geometry, GGA-PBE.

a b c (Å): 7.989 7.989 7.989
angles (deg): 90.00 90.00 90.00
Space group F-43m (No. 216)
Asymmetric unit:
Tb 0.000 0.000 0.000 (multiplicity 4)
Pm 0.000 0.000 0.500 (multiplicity 4)
Er 0.250 0.250 0.750 (multiplicity 4)
Lu 0.250 0.250 0.250 (multiplicity 4)

Calculated values
**E_tot**: -72.09 eV/cell
**Fermi-level density of states**: 6.49 states/eV/f.u.
**ΔH_f (0 K)**: 110 meV per atom
**Total magnetic moment**: 0.01 μB/cell
**Volume**: 509.86 Å³/cell

=====

(3)
In2CuPbCl: optimized geometry, GGA-PBE.

a b c (Å): 5.111 5.111 5.368
angles (deg): 90.00 90.00 90.00
Space group P4/mmm (No. 123)
Asymmetric unit:
In 0.000 0.500 0.000 (multiplicity 2)
Cu 0.000 0.000 0.000 (multiplicity 1)
Pb 0.000 0.000 0.500 (multiplicity 1)
Cl 0.500 0.500 0.500 (multiplicity 1)

Calculated values
**E_tot**: -15.53 eV/cell
**Fermi-level density of states**: 2.23 states/eV/f.u.
**Total magnetic moment**: 0.00 μB/cell
**Formation energy (no corrections)**: -0.080 eV/atom
**Volume**: 140.21 Å³/cell

=====

(4)
Zr2Br: optimized geometry, GGA-PBE.

a b c (Å): 6.306 6.734 3.220
angles (deg): 90.00 90.00 90.00
Space group Pnnm (No. 58)
Asymmetric unit:
Zr 0.185 0.150 0.000 (multiplicity 4)
Br 0.000 0.500 0.000 (multiplicity 2)

Calculated values
**E_tot**: -37.83 eV/cell
**Fermi-level density of states**: 1.88 states/eV/f.u.
**Total magnetic moment**: 0.00 μB/cell
**Offset from the most stable computed form**: 290.7 meV/atom
**Formation energy (no corrections)**: -0.048 eV/atom
**Volume**: 136.72 Å³/cell